Entry 1:
HfAs2I: optimized geometry, PBE-GGA.

Calculated values
uncorrected formation energy	32	kJ/mol of formula units
magnetic moment	0.0	μB/f.u.
energy above the most stable polymorph in this dataset	0	meV/atom

Cell lengths 4.878, 4.878, 18.900 Å; angles 90.00, 90.00, 90.00 degrees
Space group I-42d (No. 122)
Unique sites:
1 Hf 0.000 0.000 0.000
2 As 0.074 0.250 0.125
3 I 0.000 0.000 0.500

---

Entry 2:
TaHg2: optimized geometry, PBE-GGA.

Calculated values
magnetic moment	0.0	μB/f.u.

Cell lengths 2.997, 2.997, 13.494 Å; angles 90.00, 90.00, 90.00 degrees
Space group I4/mmm (No. 139)
Unique sites:
1 Ta 0.000 0.000 0.000
2 Hg 0.000 0.000 0.340

---

Entry 3:
SrLi2Co: optimized geometry, PBE-GGA.

Calculated values
magnetic moment	0.9	μB/f.u.
energy above the most stable polymorph in this dataset	44	meV/atom

Cell lengths 4.4468, 4.4468, 15.8853 Å; angles 90.00, 90.00, 120.00 degrees
Space group R-3m (No. 166, hexagonal axes)
Unique sites:
1 Sr 0.0000 0.0000 0.0000
2 Li 0.0000 0.0000 0.2006
3 Co 0.0000 0.0000 0.5000

---

Entry 4:
K2SrIrCl8: optimized geometry, PBE-GGA.

Calculated values
uncorrected formation energy	-1627	kJ/mol of formula units
magnetic moment	1.1	μB/f.u.

Cell lengths 6.402, 7.077, 8.575 Å; angles 89.95, 89.99, 87.03 degrees
Space group P-1 (No. 2)
Unique sites:
1 K 0.000 0.001 0.239
2 Sr 0.500 0.500 0.500
3 Ir 0.500 0.500 0.000
4 Cl 0.146 0.748 0.499
5 Cl 0.184 0.674 0.001
6 Cl 0.375 0.302 0.802
7 Cl 0.377 0.301 0.198

---

Entry 5:
FeTcIr2Cl: optimized geometry, PBE-GGA.

Calculated values
uncorrected formation energy	687	kJ/mol of formula units
magnetic moment	6.1	μB/f.u.

Cell lengths 4.449, 4.449, 4.097 Å; angles 90.00, 90.00, 90.00 degrees
Space group P4/mmm (No. 123)
Unique sites:
1 Fe 0.000 0.000 0.000
2 Tc 0.500 0.500 0.000
3 Ir 0.000 0.500 0.500
4 Cl 0.000 0.000 0.500

---

Entry 6:
GdDyS: optimized geometry, PBE-GGA.

Calculated values
uncorrected formation energy	-377	kJ/mol of formula units
magnetic moment	7.2	μB/f.u.

Cell lengths 3.7889, 3.7889, 6.3649 Å; angles 90.00, 90.00, 120.00 degrees
Space group P3m1 (No. 156)
Unique sites:
1 Gd 0.0000 0.0000 0.0000
2 Dy 0.3333 0.6667 0.5257
3 S 0.6667 0.3333 0.2660

---

Entry 7:
DyLu3Mn: optimized geometry, PBE-GGA.

Calculated values
magnetic moment	0.7	μB/f.u.

Cell lengths 5.184, 5.184, 5.184 Å; angles 90.00, 90.00, 90.00 degrees
Space group Pm-3m (No. 221)
Unique sites:
1 Dy 0.000 0.000 0.000
2 Lu 0.000 0.500 0.500
3 Mn 0.500 0.500 0.500

---

Entry 8:
Tl7Sb2Au: optimized geometry, PBE-GGA.

Calculated values
uncorrected formation energy	19	kJ/mol of formula units
magnetic moment	0.0	μB/f.u.

Cell lengths 4.9246, 4.9246, 47.6981 Å; angles 90.00, 90.00, 120.00 degrees
Space group R-3m (No. 166, hexagonal axes)
Unique sites:
1 Tl 0.0000 0.0000 0.0000
2 Tl 0.0000 0.0000 0.1443
3 Tl 0.0000 0.0000 0.2935
4 Tl 0.0000 0.0000 0.4350
5 Sb 0.0000 0.0000 0.0720
6 Au 0.0000 0.0000 0.5000

---

| no. | DOS at the Fermi energy (states/eV per cell) | uncorrected energy (eV/atom) | calculated density (g cm⁻³) |
| --- | --- | --- | --- |
| 1 | 9.79 | -5.12 | 6.72 |
| 2 | 3.88 | -3.76 | 15.95 |
| 3 | 14.98 | -2.77 | 2.94 |
| 4 | 5.75 | -3.70 | 2.75 |
| 5 | 4.04 | -6.26 | 11.75 |
| 6 | 1.16 | -8.91 | 7.38 |
| 7 | 7.71 | -5.26 | 8.85 |
| 8 | 14.24 | -2.79 | 9.30 |